# PBE Rb2Te2Br, optimized geometry
# theoretical density: 3.4 g/cm3
# energy above the lowest structure with this stoichiometry: 0.168 eV/atom
# size of the total moment: 2.00 Bohr magnetons per cell
# SG: P4/mbm
# VASP energy: -2.841 eV per atom
# formation energy without anion corrections: -863 meV/atom
data_Rb2Te2Br
_cell_length_a 9.2457
_cell_length_b 9.2457
_cell_length_c 5.7294
_cell_angle_alpha 90.00
_cell_angle_beta 90.00
_cell_angle_gamma 90.00
_space_group_name_H-M_alt 'P 1'
_space_group_IT_number 1
loop_
_space_group_symop_operation_xyz
'x,y,z'
loop_
_atom_site_label
_atom_site_fract_x
_atom_site_fract_y
_atom_site_fract_z
_atom_site_occupancy
Te1 0.1030 0.6030 0.5000 1
Te2 0.6030 0.8970 0.5000 1
Te3 0.8970 0.3970 0.5000 1
Te4 0.3970 0.1030 0.5000 1
Br1 0.0000 0.0000 0.0000 1
Br2 0.5000 0.5000 0.0000 1
Rb1 0.3140 0.8140 0.0000 1
Rb2 0.8140 0.6860 0.0000 1
Rb3 0.6860 0.1860 0.0000 1
Rb4 0.1860 0.3140 0.0000 1